Cs3Cd2AgCl8: optimized geometry, PBE.

Formation energy without anion corrections ... -19.52 eV per formula unit
V ... 35.3 Å³ per atom
N(E_F) ... 0.000 states/eV/cell
Total magnetization ... 0.00 μB per formula unit

Cell: 7.5978 7.5978 9.8754 Å, 90.00 90.00 120.00°
Last column: nearest neighbours and their distance in Å.
Sites, in units of the cell vectors:
Cs  0.0000  0.0000  0.0000  6 Cl 3.82
Cs  0.3333  0.6667  0.6226  4 Cl 3.35-3.74
Cs  0.6667  0.3333  0.3774  4 Cl 3.35-3.74
Cd  0.3333  0.6667  0.2077  4 Cl 2.42-2.52
Cd  0.6667  0.3333  0.7923  4 Cl 2.42-2.52
Ag  0.0000  0.0000  0.5000  6 Cl 2.77
Cl  0.1618  0.3236  0.3212  1 Cd 2.52, 1 Ag 2.77
Cl  0.1618  0.8382  0.3212  1 Cd 2.52, 1 Ag 2.77
Cl  0.3236  0.1618  0.6788  1 Cd 2.52, 1 Ag 2.77
Cl  0.3333  0.6667  0.9622  1 Cd 2.42
Cl  0.6667  0.3333  0.0378  1 Cd 2.42
Cl  0.6764  0.8382  0.3212  1 Cd 2.52, 1 Ag 2.77
Cl  0.8382  0.1618  0.6788  1 Cd 2.52, 1 Ag 2.77
Cl  0.8382  0.6764  0.6788  1 Cd 2.52, 1 Ag 2.77